(1)
Compound: CaSnS3
Source: Alexandria
Functional: PBE
Structure: optimized geometry

a b c (Å): 10.339 10.339 10.339
angles (deg): 38.57 38.57 38.57
Fractional coordinates of all 15 atoms:
Ca 0.000 0.000 0.000
Ca 0.742 0.742 0.742
Ca 0.258 0.258 0.258
Sn 0.500 0.500 0.500
Sn 0.608 0.608 0.608
Sn 0.392 0.392 0.392
S 0.000 0.500 0.500
S 0.500 0.000 0.500
S 0.500 0.500 0.000
S 0.217 0.729 0.729
S 0.729 0.217 0.729
S 0.729 0.729 0.217
S 0.783 0.271 0.271
S 0.271 0.783 0.271
S 0.271 0.271 0.783

Computed properties:
The density of states at the Fermi level comes out at 6.2 states/eV per cell. The volume is 128.7 Å³/f.u. The uncorrected energy comes out at -66.0 eV for the cell shown.

=====

(2)
Compound: CaSn2S4
Source: Alexandria
Functional: PBE
Structure: optimized geometry

a b c (Å): 6.689 8.280 14.205
angles (deg): 90.00 90.00 90.00
Fractional coordinates of all 28 atoms:
Ca 0.990 0.250 0.272
Ca 0.510 0.250 0.772
Ca 0.010 0.750 0.728
Ca 0.490 0.750 0.228
Sn 0.416 0.250 0.097
Sn 0.084 0.250 0.597
Sn 0.584 0.750 0.903
Sn 0.916 0.750 0.403
Sn 0.000 0.500 0.000
Sn 0.500 0.000 0.500
Sn 0.000 0.000 0.000
Sn 0.500 0.500 0.500
S 0.775 0.250 0.098
S 0.725 0.250 0.598
S 0.225 0.750 0.902
S 0.275 0.750 0.402
S 0.221 0.250 0.438
S 0.279 0.250 0.938
S 0.779 0.750 0.562
S 0.721 0.750 0.062
S 0.249 0.476 0.173
S 0.251 0.024 0.673
S 0.751 0.976 0.827
S 0.749 0.524 0.327
S 0.751 0.524 0.827
S 0.749 0.976 0.327
S 0.249 0.024 0.173
S 0.251 0.476 0.673

Computed properties:
The volume is 196.7 Å³/f.u. The uncorrected energy comes out at -130.5 eV for the cell shown.

=====

(3)
Compound: Ca5Sn3S11
Source: Alexandria
Functional: PBE
Structure: optimized geometry

a b c (Å): 8.634 8.798 13.894
angles (deg): 83.00 86.42 76.95
Fractional coordinates of all 38 atoms:
Ca 0.053 0.999 0.241
Ca 0.947 0.001 0.759
Ca 0.876 0.539 0.219
Ca 0.124 0.461 0.781
Ca 0.440 0.070 0.742
Ca 0.560 0.930 0.258
Ca 0.303 0.713 0.998
Ca 0.697 0.287 0.002
Ca 0.666 0.336 0.490
Ca 0.334 0.664 0.510
Sn 0.414 0.459 0.257
Sn 0.586 0.541 0.743
Sn 0.166 0.183 0.465
Sn 0.834 0.817 0.535
Sn 0.224 0.202 0.016
Sn 0.776 0.798 0.984
S 0.575 0.603 0.333
S 0.425 0.397 0.667
S 0.335 0.959 0.112
S 0.665 0.041 0.888
S 0.977 0.278 0.106
S 0.023 0.722 0.894
S 0.295 0.948 0.392
S 0.705 0.052 0.608
S 0.934 0.269 0.369
S 0.066 0.731 0.631
S 0.162 0.131 0.861
S 0.838 0.869 0.139
S 0.342 0.372 0.430
S 0.658 0.628 0.570
S 0.857 0.828 0.363
S 0.143 0.172 0.637
S 0.632 0.602 0.051
S 0.368 0.398 0.949
S 0.181 0.619 0.187
S 0.819 0.381 0.813
S 0.592 0.237 0.201
S 0.408 0.763 0.799

Computed properties:
The density of states at the Fermi level comes out at 0.0 states/eV per cell. The volume is 509.9 Å³/f.u. The uncorrected energy comes out at -182.2 eV for the cell shown.

=====

(4)
Compound: CaSn2S5
Source: Alexandria
Functional: PBE
Structure: optimized geometry

a b c (Å): 11.844 11.844 10.206
angles (deg): 88.99 88.99 25.12
Fractional coordinates of all 24 atoms:
Ca 0.000 0.000 0.000
Ca 0.158 0.158 0.497
Ca 0.842 0.842 0.503
Sn 0.642 0.642 0.832
Sn 0.358 0.358 0.168
Sn 0.259 0.259 0.843
Sn 0.741 0.741 0.157
Sn 0.447 0.447 0.719
Sn 0.553 0.553 0.281
S 0.500 0.500 0.500
S 0.134 0.134 0.777
S 0.866 0.866 0.223
S 0.755 0.755 0.868
S 0.245 0.245 0.132
S 0.945 0.945 0.665
S 0.055 0.055 0.335
S 0.325 0.325 0.618
S 0.675 0.675 0.382
S 0.530 0.530 0.877
S 0.470 0.470 0.123
S 0.368 0.368 0.914
S 0.632 0.632 0.086
S 0.710 0.710 0.571
S 0.290 0.290 0.429

Computed properties:
The density of states at the Fermi level comes out at 4.9 states/eV per cell. The volume is 202.5 Å³/f.u. The uncorrected energy comes out at -105.7 eV for the cell shown.